[1]
! Dy7Al2Au2, relaxed, DFT PBE-GGA; values from VASP
! Space group: No. 65
! Energy relative to the elements in kJ/mol of atoms: -23.6
! Density of states at the Fermi level in states/eV/cell: 11.6
&SYSTEM
  ibrav = 0, nat = 11, ntyp = 3
/
ATOMIC_SPECIES
Al 26.98 Al.upf
Dy 162.50 Dy.upf
Au 196.97 Au.upf
CELL_PARAMETERS angstrom
-3.532 -3.107 4.879
0.838 -6.297 -3.404
6.547 -0.075 1.751
ATOMIC_POSITIONS crystal
Al 0.834 0.500 0.834
Al 0.166 0.500 0.166
Dy 0.000 0.000 0.000
Dy 0.000 0.272 0.500
Dy 0.500 0.262 0.500
Dy 0.000 0.728 0.500
Dy 0.500 0.272 0.000
Dy 0.500 0.738 0.500
Dy 0.500 0.728 0.000
Au 0.292 0.000 0.708
Au 0.708 0.000 0.292

---

[2]
! YMg2SnGe, relaxed, DFT PBE-GGA; values from VASP
! Space group: No. 123
! Energy relative to the elements in kJ/mol of atoms: 78.6
! Density of states at the Fermi level in states/eV/cell: 3.8
&SYSTEM
  ibrav = 0, nat = 5, ntyp = 4
/
ATOMIC_SPECIES
Ge 72.64 Ge.upf
Y 88.91 Y.upf
Mg 24.30 Mg.upf
Sn 118.71 Sn.upf
CELL_PARAMETERS angstrom
5.761 0.000 0.000
0.000 5.345 0.000
0.000 0.000 5.761
ATOMIC_POSITIONS crystal
Ge 0.000 0.500 0.000
Y 0.000 0.000 0.000
Mg 0.000 0.000 0.500
Mg 0.500 0.000 0.000
Sn 0.500 0.500 0.500

---

no.,volume (Å³ per atom)
1,28.6
2,35.5